Computed, not measured: a relaxed BaLuBi crystal at the GGA-PBE level of DFT.

Results
ΔE to the lowest computed polymorph ... 0.000 eV per atom
Total magnetization ... 0.14 μB per formula unit
E ... -3.701 eV per atom
Space-group type ... No. 216

Lattice parameters (Å, degrees): 5.511 5.511 5.511 60.00 60.00 60.00
Sites, in units of the cell vectors:
Ba 0.000 0.000 0.000
Lu 0.500 0.500 0.500
Bi 0.250 0.250 0.250